No. 1
A plane-wave DFT calculation with meta-GGA SCAN was carried out for a PBEsol-optimized structure of ThIN.

```
ThIN
1.0
4.0767 0.0000 0.0000
0.0000 4.0767 0.0000
0.0000 0.0000 9.3024
Th I N
2 2 2
Cartesian
1.0192 1.0192 1.1370
3.0575 3.0575 8.1654
1.0192 1.0192 6.2234
3.0575 3.0575 3.0790
1.0192 3.0575 0.0000
3.0575 1.0192 0.0000
```

Summary:
space group: P4/nmm
M_tot: 0.000 μB/atom
formation energy without anion corrections: -191 kJ/mol of atoms

No. 2
A plane-wave DFT calculation with meta-GGA SCAN was carried out for a PBEsol-optimized structure of TiIN2.

```
TiIN2
1.0
1.7392 1.0041 6.0590
-1.7392 1.0041 6.0590
0.0000 -2.0083 6.0590
Ti I N
1 1 2
Cartesian
0.0000 0.0000 0.0000
0.0000 0.0000 9.0885
0.0000 0.0000 1.9607
0.0000 0.0000 16.2162
```

Summary:
space group: R-3m
M_tot: 0.173 μB/atom
formation energy without anion corrections: 118 kJ/mol of atoms

No. 3
A plane-wave DFT calculation with meta-GGA SCAN was carried out for a PBEsol-optimized structure of Tl3IN.

```
Tl3IN
1.0
6.3774 0.0000 0.0000
0.0000 6.3774 0.0000
0.0000 0.0000 6.3774
Tl I N
3 1 1
Cartesian
0.0000 0.0000 3.1887
0.0000 3.1887 0.0000
3.1887 0.0000 0.0000
0.0000 0.0000 0.0000
3.1887 3.1887 3.1887
```

Summary:
space group: Pm-3m
M_tot: 0.446 μB/atom
formation energy without anion corrections: 112 kJ/mol of atoms